A plane-wave DFT calculation with GGA-PBE was carried out for a geometry-optimized Cd2AuBr structure.

Its energy above the lowest structure with this stoichiometry is 141.7 meV per atom. The raw total energy is -1.806 eV/atom. The formation energy (no corrections) comes out at -0.11 eV/atom. The calculated volume comes out at 26.7 Å³/atom.

The space group is Immm (No. 71) and the conventional cell measures 3.734, 6.586 and 8.678 Å, with angles of 90.00, 90.00 and 90.00 degrees. The asymmetric unit holds Cd at (0.000, 0.000, 0.236), Au at (0.000, 0.500, 0.500) and Br at (0.000, 0.500, 0.000).


A plane-wave DFT calculation with GGA-PBE was carried out for a geometry-optimized LiPbS3 structure.

Its energy above the lowest structure with this stoichiometry is 134.0 meV per atom. The raw total energy is -3.382 eV/atom. The formation energy (no corrections) comes out at 0.22 eV/atom. The calculated volume comes out at 28.3 Å³/atom.

The space group is Pm-3m (No. 221) and the conventional cell measures 5.212, 5.212 and 5.212 Å, with angles of 90.00, 90.00 and 90.00 degrees. The asymmetric unit holds Li at (0.000, 0.000, 0.000), Pb at (0.500, 0.500, 0.500) and S at (0.000, 0.500, 0.500).


A plane-wave DFT calculation with GGA-PBE was carried out for a geometry-optimized HfRu structure.

The value obtained for the formation energy is -0.083 eV/atom. The raw total energy is -9.697 eV/atom. The calculated volume comes out at 18.6 Å³/atom.

The space group is P4_2/mnm (No. 136) and the conventional cell measures 5.309, 5.309 and 5.292 Å, with angles of 90.00, 90.00 and 90.00 degrees. The asymmetric unit holds Hf at (0.214, 0.214, 0.000) and Ru at (0.210, 0.210, 0.500).


A plane-wave DFT calculation with GGA-PBE was carried out for a geometry-optimized Ac2EuTl structure.

The value obtained for the formation energy is -0.080 eV/atom. Its energy above the lowest structure with this stoichiometry is 58.2 meV per atom. The raw total energy is -5.295 eV/atom. The calculated volume comes out at 37.7 Å³/atom.

The space group is Fm-3m (No. 225) and the conventional cell measures 8.447, 8.447 and 8.447 Å, with angles of 90.00, 90.00 and 90.00 degrees. The asymmetric unit holds Ac at (0.250, 0.250, 0.250), Eu at (0.000, 0.000, 0.000) and Tl at (0.000, 0.000, 0.500).